P) 5
Lattice="-4.5766 -1.2279 0.4437 1.3043 -4.2289 1.7507 -0.0594 1.8675 4.5554" Properties=species:S:1:pos:R:3 comment="MgNiSe2Br | Alexandria | PBE | relaxed" m_tot_mub_per_cell=0.00 pbc="T T T"
Ni 0.0000 0.0000 0.0000
Mg -1.6658 -1.7946 3.3749
Se 0.6522 -2.1144 0.8753
Se -2.2883 -0.6139 0.2218
Br -0.0297 0.9338 2.2777

Q) 5
Lattice="5.0650 0.0000 0.0000 0.0000 5.0650 0.0000 0.0000 0.0000 5.0997" Properties=species:S:1:pos:R:3 comment="MgNiSe2Br | Alexandria | PBE | relaxed" m_tot_mub_per_cell=2.19 pbc="T T T"
Ni 2.5325 2.5325 2.5499
Mg 0.0000 0.0000 0.0000
Se 0.0000 2.5325 0.0000
Se 2.5325 0.0000 0.0000
Br 0.0000 0.0000 2.5499

Which is most stable, and by how much? P), by 483 meV per atom.

P) 8
Lattice="6.2578 0.0000 0.0000 0.0000 6.2578 0.0000 3.1289 3.1289 6.1748" Properties=species:S:1:pos:R:3 comment="MgBr2O | Alexandria | PBE | relaxed" m_tot_mub_per_cell=4.00 pbc="T T T"
Mg 0.0000 0.0000 0.0000
Mg 6.2578 3.1289 3.0874
O 3.1289 3.1289 0.0000
O 3.1289 6.2578 3.0874
Br 4.9727 1.5644 1.5437
Br 1.2851 4.6933 1.5437
Br 4.6933 4.4140 4.6311
Br 7.8222 8.1016 4.6311

Q) 4
Lattice="2.3153 0.0000 6.9583 -1.1577 2.0051 6.9583 -1.1577 -2.0051 6.9583" Properties=species:S:1:pos:R:3 comment="MgBr2O | Alexandria | PBE | relaxed" m_tot_mub_per_cell=0.00 pbc="T T T"
Mg 0.0000 0.0000 10.4375
O 0.0000 0.0000 0.0000
Br 0.0000 0.0000 18.8270
Br 0.0000 0.0000 2.0480

R) 16
Lattice="-2.0437 -0.9752 3.2757 6.3920 0.2277 4.0557 -2.0909 12.9996 2.5654" Properties=species:S:1:pos:R:3 comment="MgBr2O | Alexandria | PBE | relaxed" m_tot_mub_per_cell=0.00 pbc="T T T"
Mg 3.4027 -0.2983 5.6649
Mg -0.7565 5.5761 4.8188
Mg -1.1453 12.5505 4.2319
Mg 3.0139 6.6761 5.0780
Br 1.7628 11.4215 5.7101
Br -0.8643 7.7705 2.9843
Br 0.4946 0.8307 4.1866
Br 3.1217 4.4817 6.9125
Br 5.3627 1.4603 4.9907
Br 1.5994 4.8736 3.6590
Br -3.1053 10.7919 4.9061
Br 0.6580 7.3786 6.2378
O 2.0019 0.9043 5.1490
O -1.7566 4.2879 3.8113
O 0.2555 11.3479 4.7478
O 4.0140 7.9643 6.0855

S) 4
Lattice="-4.0730 -2.0743 1.5628 -4.1648 0.8148 -2.3075 -2.0603 -3.5245 -2.5821" Properties=species:S:1:pos:R:3 comment="MgBr2O | Alexandria | PBE | relaxed" m_tot_mub_per_cell=2.00 pbc="T T T"
Mg -5.1490 -2.3920 -1.6634
O 0.0000 0.0000 0.0000
Br -2.5745 -1.1960 -0.8317
Br -7.7236 -3.5880 -2.4951

Which is most stable, and by how much? R), by 501 meV per atom.

P) 10
Lattice="7.0297 0.0000 0.0000 0.0000 7.0297 0.0000 0.0000 0.0000 2.8937" Properties=species:S:1:pos:R:3 comment="Mg2BrO2 | Alexandria | PBE | relaxed" m_tot_mub_per_cell=0.00 pbc="T T T"
Mg 0.8856 4.4005 1.4468
Mg 4.4005 6.1440 1.4468
Mg 6.1440 2.6292 1.4468
Mg 2.6292 0.8856 1.4468
O 2.7211 6.2359 0.0000
O 6.2359 4.3086 0.0000
O 4.3086 0.7938 0.0000
O 0.7938 2.7211 0.0000
Br 0.0000 0.0000 0.0000
Br 3.5148 3.5148 0.0000

Q) 5
Lattice="-0.1622 -2.0758 3.4771 2.2498 -2.9396 -1.6500 5.3146 -0.1432 2.5244" Properties=species:S:1:pos:R:3 comment="Mg2BrO2 | Alexandria | PBE | relaxed" m_tot_mub_per_cell=1.00 pbc="T T T"
Mg 3.0981 -2.3633 3.4575
Mg 4.3041 -2.7953 0.8940
O 3.0308 -1.4076 1.6630
O 4.3714 -3.7510 2.6885
Br 0.0000 0.0000 0.0000

Which is most stable, and by how much? Q), by 750 meV per atom.

P) 5
Lattice="-3.4088 2.7714 -2.8753 -3.8992 -1.4927 3.1838 0.8631 4.2023 3.0273" Properties=species:S:1:pos:R:3 comment="MgBr3O | Alexandria | PBE | relaxed" m_tot_mub_per_cell=3.00 pbc="T T T"
Mg 0.0000 0.0000 0.0000
O -3.2224 2.7405 1.6679
Br -1.9496 -0.7464 1.5919
Br 0.4315 2.1011 1.5136
Br -1.7044 1.3857 -1.4377

Q) 5
Lattice="4.7947 0.0000 0.0000 0.0000 4.7947 0.0000 0.0000 0.0000 4.7947" Properties=species:S:1:pos:R:3 comment="MgBr3O | Alexandria | PBE | relaxed" m_tot_mub_per_cell=0.00 pbc="T T T"
Mg 2.3974 2.3974 2.3974
O 0.0000 0.0000 0.0000
Br 0.0000 2.3974 0.0000
Br 0.0000 0.0000 2.3974
Br 2.3974 0.0000 0.0000

Which is most stable, and by how much? P), by 113 meV per atom.

P) 27
Lattice="2.9310 9.0258 0.0215 -2.9310 9.0258 0.0215 0.0000 3.3812 10.9169" Properties=species:S:1:pos:R:3 comment="MgTe4Pb6Br4O12 | Alexandria | PBE | relaxed" m_tot_mub_per_cell=0.00 pbc="T T T"
Mg -0.8995 10.7163 5.4799
Te 0.0190 7.4370 0.5930
Te 0.0190 13.9957 10.3669
Te -0.0852 3.7689 4.6017
Te -0.0852 17.6638 6.3582
Pb 0.1647 14.2189 2.3019
Pb 0.1647 7.2138 8.6580
Pb -0.0211 18.1359 2.1974
Pb -0.0211 3.2968 8.7624
Pb 0.1596 7.2112 4.3941
Pb 0.1596 14.2215 6.5658
Br -0.1253 3.7208 1.1617
Br -0.1253 17.7119 9.7982
Br 0.1632 10.7799 3.1680
Br 0.1632 10.6528 7.7918
O 1.3150 7.3289 2.0519
O -1.4053 7.2448 1.9453
O -1.4053 14.1879 9.0145
O 1.3150 14.1038 8.9079
O 1.2852 9.0258 0.0215
O -1.1763 9.0258 0.0215
O -0.4110 4.0797 6.4662
O -0.4110 17.3530 4.4937
O -1.6266 14.0978 4.3320
O 1.4543 14.2343 4.2855
O 1.4543 7.1984 6.6743
O -1.6266 7.3349 6.6279

Q) 27
Lattice="5.7948 0.0201 -0.0122 -2.7126 9.1972 0.0065 -0.1962 -3.3164 11.7735" Properties=species:S:1:pos:R:3 comment="MgTe4Pb6Br4O12 | Alexandria | PBE | relaxed" m_tot_mub_per_cell=0.00 pbc="T T T"
Mg 2.4629 -0.3191 11.1461
Te 0.0341 4.4738 10.6651
Te 2.8879 0.9110 1.2426
Te -0.0129 0.7856 6.9772
Te 2.8165 5.2871 4.6735
Pb 2.9669 2.4836 9.0343
Pb -0.0668 3.5475 2.5278
Pb 2.9231 6.2620 9.4844
Pb -0.0063 -0.2466 3.0534
Pb 0.2157 4.3745 6.9841
Pb 2.9486 1.8487 4.7169
Br -0.0959 0.1353 10.8204
Br 3.0098 5.1271 0.7678
Br 2.8031 -0.9336 8.6846
Br -0.0277 7.6102 4.4577
O 1.3785 4.3182 9.1160
O -1.2669 4.3177 9.1383
O 1.3899 1.5210 2.5303
O 4.3262 1.6104 2.6204
O 1.3090 5.8886 11.1733
O -1.3145 5.8127 11.2772
O -0.0904 0.8238 5.0923
O 2.6164 5.2715 6.5371
O 1.3269 2.1315 7.1616
O 4.3669 2.0505 7.1498
O 1.4847 3.9412 4.3666
O -1.5668 3.9799 4.4997

Which is most stable, and by how much? Q), by 55 meV per atom.

P) 5
Lattice="-2.5300 -1.5355 -2.8996 2.9231 -2.7178 -1.1114 -2.2060 -4.0333 4.0607" Properties=species:S:1:pos:R:3 comment="MgSe2BrO | Alexandria | PBE | relaxed" m_tot_mub_per_cell=0.27 pbc="T T T"
O 0.0000 0.0000 0.0000
Mg -0.9065 -4.1433 0.0249
Se 1.4616 -1.3589 -0.5557
Se -1.2650 -0.7677 -1.4498
Br -1.1030 -2.0166 2.0304

Q) 5
Lattice="-1.8755 0.3750 4.7549 -2.4154 -4.4804 -0.5994 3.9891 -2.3862 1.7616" Properties=species:S:1:pos:R:3 comment="MgSe2BrO | Alexandria | PBE | relaxed" m_tot_mub_per_cell=1.56 pbc="T T T"
O -0.1509 -3.2458 2.9585
Mg 0.0000 0.0000 0.0000
Se -1.2077 -2.2402 -0.2997
Se -0.9377 0.1875 2.3774
Br 1.9945 -1.1931 0.8808

Which is most stable, and by how much? P), by 773 meV per atom.